This record from Alexandria describes a relaxed RbHfTe2 crystal. The functional is GGA-PBE.

Lattice parameters (Å, degrees): 5.445 5.445 5.445 60.00 60.00 60.00
Last column: magnetic moment on the atom in μB.
Fractional positions:
Te 0.250 0.250 0.250  -0.04
Rb 0.000 0.000 0.000  0.02
Te 0.750 0.750 0.750  -0.04
Hf 0.500 0.500 0.500  0.64

Summary:
Space group: Fm-3m (225)
Formation energy (no corrections): -0.8 eV/f.u.
VASP energy: -4.507 eV/atom